No. 1
Material: CaPPt
Method: DFT, PBE-GGA
State: optimized geometry

Cell: 4.3803 6.5642 8.3731 Å, 90.00 90.00 90.00°
Element x y z (fractional)
Ca 0.0000 0.5698 0.5870
Ca 0.0000 0.0698 0.4130
Ca 0.0000 0.1341 0.8734
Ca 0.0000 0.6341 0.1267
P 0.5000 0.7531 0.3839
P 0.5000 0.2531 0.6161
P 0.5000 0.3299 0.0720
P 0.5000 0.8299 0.9280
Pt 0.5000 0.0019 0.1686
Pt 0.5000 0.5019 0.8314
Pt 0.5000 0.3853 0.3433
Pt 0.5000 0.8853 0.6567

Summary:
**Space-group type**: Pmc2_1, No. 26
**Crystal system**: orthorhombic
**Size of the total moment**: 0.000 μB per formula unit
**E**: -0.414 Ry per atom
**E_form**: -26.46 kcal/mol of atoms

=====

No. 2
Material: La2Al3Pt4
Method: DFT, PBE-GGA
State: optimized geometry

Cell: 5.7742 7.5699 8.4583 Å, 90.00 109.96 90.00°
Element x y z (fractional)
La 0.1069 0.5909 0.2137
La 0.8931 0.4091 0.7863
La 0.3931 0.0909 0.7863
La 0.6069 0.9091 0.2137
Al 0.0000 0.0000 0.0000
Al 0.5000 0.5000 0.0000
Al 0.5224 0.7500 0.5448
Al 0.9776 0.2500 0.4552
Al 0.4776 0.2500 0.4552
Al 0.0224 0.7500 0.5448
Pt 0.6865 0.7500 0.8730
Pt 0.8135 0.2500 0.1270
Pt 0.3135 0.2500 0.1270
Pt 0.1865 0.7500 0.8730
Pt 0.1837 0.9744 0.3674
Pt 0.8163 0.0256 0.6326
Pt 0.3163 0.4744 0.6326
Pt 0.6837 0.5256 0.3674

Summary:
**Space-group type**: Cmce, No. 64
**Crystal system**: orthorhombic
**Size of the total moment**: 0.000 μB per formula unit
**E**: -0.451 Ry per atom
**E_form**: -25.57 kcal/mol of atoms

=====

No. 3
Material: BeMo2Br
Method: DFT, PBE-GGA
State: optimized geometry

Cell: 4.8951 4.8951 4.8951 Å, 140.67 123.87 70.68°
Element x y z (fractional)
Be 0.2500 0.7500 0.5000
Mo 0.0485 0.0485 0.0000
Mo 0.4515 0.4515 0.0000
Br 0.7500 0.2500 0.5000

Summary:
**Energy above the lowest structure with this stoichiometry**: 456 meV per atom
**Space-group type**: Immm, No. 71
**Crystal system**: orthorhombic
**Size of the total moment**: 0.000 μB per formula unit
**E**: -0.441 Ry per atom

=====

No. 4
Material: Pm2Nd3Th
Method: DFT, PBE-GGA
State: optimized geometry

Cell: 5.6367 8.6742 8.6742 Å, 76.23 90.00 90.00°
Element x y z (fractional)
Pm 0.5761 0.7283 0.4003
Pm 0.0761 0.5997 0.2717
Pm 0.5761 0.4003 0.7283
Pm 0.0761 0.2717 0.5997
Nd 0.0764 0.0132 0.3506
Nd 0.5764 0.6494 0.9868
Nd 0.0764 0.3506 0.0132
Nd 0.5764 0.9868 0.6494
Nd 0.0766 0.9333 0.9333
Nd 0.5766 0.0667 0.0667
Th 0.0763 0.6820 0.6820
Th 0.5763 0.3180 0.3180

Summary:
**Energy above the lowest structure with this stoichiometry**: 37 meV per atom
**Space-group type**: Cmcm, No. 63
**Crystal system**: orthorhombic
**Size of the total moment**: 0.000 μB per formula unit
**E**: -0.377 Ry per atom
**E_form**: 1.72 kcal/mol of atoms

=====

No. 5
Material: NbAs2PBr
Method: DFT, PBE-GGA
State: optimized geometry

Cell: 4.7223 4.7223 4.8566 Å, 90.00 90.00 90.00°
Element x y z (fractional)
P 0.0000 0.0000 0.0000
Nb 0.5000 0.5000 0.5000
As 0.0000 0.5000 0.0000
As 0.5000 0.0000 0.0000
Br 0.0000 0.0000 0.5000

Summary:
**Energy above the lowest structure with this stoichiometry**: 238 meV per atom
**Space-group type**: P4/mmm, No. 123
**Crystal system**: tetragonal
**Size of the total moment**: 1.980 μB per formula unit
**E**: -0.323 Ry per atom

=====

No. 6
Material: Th5TcPb
Method: DFT, PBE-GGA
State: optimized geometry

Cell: 4.9176 4.9176 8.5701 Å, 90.00 90.00 90.00°
Element x y z (fractional)
Th 0.0000 0.5000 0.7954
Th 0.0000 0.5000 0.2046
Th 0.5000 0.0000 0.7954
Th 0.5000 0.0000 0.2046
Th 0.5000 0.5000 0.5000
Tc 0.5000 0.5000 0.0000
Pb 0.0000 0.0000 0.5000

Summary:
**Space-group type**: P4/mmm, No. 123
**Crystal system**: tetragonal
**Size of the total moment**: 0.000 μB per formula unit
**E**: -0.542 Ry per atom
**E_form**: -1.33 kcal/mol of atoms

=====

No. 7
Material: Zr2CrOs
Method: DFT, PBE-GGA
State: optimized geometry

Cell: 4.5690 4.5690 4.5690 Å, 60.00 60.00 60.00°
Element x y z (fractional)
Cr 0.5000 0.5000 0.5000
Os 0.7500 0.7500 0.7500
Zr 0.0000 0.0000 0.0000
Zr 0.2500 0.2500 0.2500

Summary:
**Space-group type**: F-43m, No. 216
**Crystal system**: cubic
**Size of the total moment**: 0.004 μB per formula unit
**E**: -0.694 Ry per atom
**E_form**: 1.02 kcal/mol of atoms

=====

No. 8
Material: Pr2Cd3Cu2
Method: DFT, PBE-GGA
State: optimized geometry

Cell: 4.4008 5.5479 7.2485 Å, 94.98 90.00 113.37°
Element x y z (fractional)
Pr 0.6302 0.2604 0.3410
Pr 0.3698 0.7396 0.6590
Cd 0.3206 0.6412 0.1425
Cd 0.0000 0.0000 0.0000
Cd 0.6794 0.3588 0.8575
Cu 0.0755 0.1511 0.6437
Cu 0.9245 0.8489 0.3563

Summary:
**Space-group type**: C2/m, No. 12
**Crystal system**: monoclinic
**Size of the total moment**: 0.000 μB per formula unit
**E**: -0.232 Ry per atom
**E_form**: -5.30 kcal/mol of atoms